Entry 1:
Material: KYPb2
Method: DFT, PBE
State: optimized geometry

Lattice parameters (Å, degrees): 4.6383 3.6321 8.7477 65.39 90.00 90.00
Closest atoms and distances in Å follow each position.
Fractional positions:
Pb 0.0000 0.9500 0.0514  1 Pb 3.16, 4 Y 3.34
Pb 0.0000 0.5500 0.4486  1 Pb 3.16, 4 Y 3.34
Y 0.5000 0.2500 0.2500  8 Pb 3.34, 2 Y 3.63
K 0.5000 0.7500 0.7500  2 K 3.63, 8 Pb 3.79-3.80, 2 Y 3.98

## Properties
SG: P2/m
Total DFT energy (no corrections) in eV for the cell shown: -16.437
Density of states at the Fermi level in states/eV/f.u.: 0.79

Entry 2:
Material: KYPb4
Method: DFT, PBE
State: optimized geometry

Lattice parameters (Å, degrees): 6.5647 6.5647 6.5647 60.00 60.00 60.00
Closest atoms and distances in Å follow each position.
Fractional positions:
K 0.0000 0.0000 0.0000  12 Pb 3.86, 4 Y 4.02
Y 0.7500 0.7500 0.7500  12 Pb 3.84, 4 K 4.02
Pb 0.8677 0.3774 0.3774  6 Pb 3.22-3.35
Pb 0.3774 0.3774 0.8677  6 Pb 3.22-3.35
Pb 0.3774 0.8677 0.3774  6 Pb 3.22-3.35
Pb 0.3774 0.3774 0.3774  6 Pb 3.22-3.35

## Properties
SG: F-43m
Total DFT energy (no corrections) in eV for the cell shown: -22.797
Density of states at the Fermi level in states/eV/f.u.: 5.34

Entry 3:
Material: KYPb2
Method: DFT, PBE
State: optimized geometry

Lattice parameters (Å, degrees): 5.8992 5.8992 3.6312 90.01 90.01 98.59
Closest atoms and distances in Å follow each position.
Fractional positions:
K 0.0000 0.5000 0.5000  8 Pb 3.46, 2 K 3.63, 2 Y 3.85
Pb 0.0000 0.0000 0.0000  4 Y 3.46, 4 K 3.46, 4 Pb 3.63-3.85
Pb 0.5000 0.5000 0.0000  4 K 3.46, 4 Y 3.46, 4 Pb 3.63-3.85
Y 0.5000 0.0000 0.5000  8 Pb 3.46, 2 Y 3.63, 2 K 3.85

## Properties
SG: Cmmm
Total DFT energy (no corrections) in eV for the cell shown: -15.764
Density of states at the Fermi level in states/eV/f.u.: 2.36

Entry 4:
Material: K2YPb2
Method: DFT, PBE
State: optimized geometry

Lattice parameters (Å, degrees): 8.1775 8.1775 5.9112 90.00 90.00 90.00
Closest atoms and distances in Å follow each position.
Fractional positions:
Pb 0.3646 0.8646 0.0000  1 Pb 3.13, 2 Y 3.18
Pb 0.8646 0.6354 0.0000  1 Pb 3.13, 2 Y 3.18
Pb 0.6354 0.1354 0.0000  1 Pb 3.13, 2 Y 3.18
Pb 0.1354 0.3646 0.0000  1 Pb 3.13, 2 Y 3.18
Y 0.0000 0.0000 0.0000  4 Pb 3.18
Y 0.5000 0.5000 0.0000  4 Pb 3.18
K 0.1659 0.6659 0.5000  6 Pb 3.74-3.86, 1 K 3.84
K 0.6659 0.8341 0.5000  6 Pb 3.74-3.86, 1 K 3.84
K 0.8341 0.3341 0.5000  6 Pb 3.74-3.86, 1 K 3.84
K 0.3341 0.1659 0.5000  6 Pb 3.74-3.86, 1 K 3.84

## Properties
SG: P4/mbm
Total DFT energy (no corrections) in eV for the cell shown: -32.448
Density of states at the Fermi level in states/eV/f.u.: 4.50

Entry 5:
Material: KYPb2
Method: DFT, PBE
State: optimized geometry

Lattice parameters (Å, degrees): 3.5851 3.5851 9.9830 90.00 90.00 90.00
Closest atoms and distances in Å follow each position.
Fractional positions:
Pb 0.0000 0.0000 0.0253  4 Y 3.39, 4 Pb 3.59, 4 K 3.74
Pb 0.0000 0.0000 0.4747  4 Y 3.39, 4 Pb 3.59, 4 K 3.74
Y 0.5000 0.5000 0.2500  8 Pb 3.39, 4 Y 3.59
K 0.5000 0.5000 0.7500  4 K 3.59, 8 Pb 3.74

## Properties
SG: P4/mmm
Total DFT energy (no corrections) in eV for the cell shown: -16.329
Density of states at the Fermi level in states/eV/f.u.: 2.12

Entry 6:
Material: KY3Pb
Method: DFT, PBE
State: optimized geometry

Lattice parameters (Å, degrees): 5.9772 5.9772 5.9772 90.00 90.00 90.00
Closest atoms and distances in Å follow each position.
Fractional positions:
Pb 0.0000 0.0000 0.0000  6 Y 2.99
Y 0.0000 0.5000 0.0000  2 Pb 2.99
Y 0.0000 0.0000 0.5000  2 Pb 2.99
Y 0.5000 0.0000 0.0000  2 Pb 2.99
K 0.5000 0.5000 0.5000  12 Y 4.23

## Properties
SG: Pm-3m
Total DFT energy (no corrections) in eV for the cell shown: -22.363
Density of states at the Fermi level in states/eV/f.u.: 10.09

Entry 7:
Material: K3ZnPb
Method: DFT, PBE
State: optimized geometry

Lattice parameters (Å, degrees): 6.8880 6.8880 6.8880 90.00 90.00 90.00
Closest atoms and distances in Å follow each position.
Fractional positions:
Pb 0.0000 0.0000 0.0000  6 K 3.44
Zn 0.5000 0.5000 0.5000  12 K 4.87
K 0.0000 0.5000 0.0000  2 Pb 3.44
K 0.0000 0.0000 0.5000  2 Pb 3.44
K 0.5000 0.0000 0.0000  2 Pb 3.44

## Properties
SG: Pm-3m
Total DFT energy (no corrections) in eV for the cell shown: -7.150
Density of states at the Fermi level in states/eV/f.u.: 1.99

Entry 8:
Material: K2ZnPb
Method: DFT, PBE
State: optimized geometry

Lattice parameters (Å, degrees): 3.9860 4.0021 10.1374 90.00 90.00 90.00
Closest atoms and distances in Å follow each position.
Fractional positions:
K 0.0000 0.0000 0.9245  1 Pb 3.56, 4 Zn 3.73, 2 K 3.99
K 0.5000 0.5000 0.3177  1 Zn 3.72, 4 Pb 3.83, 4 K 3.99-4.00
Pb 0.0000 0.0000 0.5731  4 Zn 3.04
Zn 0.5000 0.5000 0.6848  4 Pb 3.04

## Properties
SG: Pmm2
Total DFT energy (no corrections) in eV for the cell shown: -6.983
Density of states at the Fermi level in states/eV/f.u.: 3.49

Entry 9:
Material: K2ZnPb
Method: DFT, PBE
State: optimized geometry

Lattice parameters (Å, degrees): 4.9117 5.7527 6.5788 63.95 90.00 90.00
Closest atoms and distances in Å follow each position.
Fractional positions:
Pb 0.0000 0.6706 0.5353  2 Zn 2.67
Zn 0.5000 0.5798 0.7132  2 Pb 2.67
K 0.0000 0.9779 0.9186  3 Pb 3.65-3.66, 4 Zn 3.97-3.98
K 0.5000 0.2716 0.3329  3 Zn 3.65-3.66, 4 Pb 3.96-3.97

## Properties
SG: Pm
Total DFT energy (no corrections) in eV for the cell shown: -7.395
Density of states at the Fermi level in states/eV/f.u.: 1.25

Entry 10:
Material: K2ZnPb
Method: DFT, PBE
State: optimized geometry

Lattice parameters (Å, degrees): 4.7109 5.0583 5.6978 90.00 90.00 90.00
Closest atoms and distances in Å follow each position.
Fractional positions:
K 0.0000 0.0000 0.0000  4 K 3.46, 4 Pb 3.70, 4 Zn 3.81
K 0.5000 0.5000 0.0000  4 K 3.46, 4 Zn 3.70, 4 Pb 3.81
Pb 0.5000 0.0000 0.5000  4 Zn 3.46, 8 K 3.70-3.81
Zn 0.0000 0.5000 0.5000  4 Pb 3.46, 8 K 3.70-3.81

## Properties
SG: Pmmm
Total DFT energy (no corrections) in eV for the cell shown: -6.657
Density of states at the Fermi level in states/eV/f.u.: 0.98

Entry 11:
Material: KZn2Pb2
Method: DFT, PBE
State: optimized geometry

Lattice parameters (Å, degrees): 8.9896 8.9896 3.4080 90.00 90.00 90.00
Closest atoms and distances in Å follow each position.
Fractional positions:
Pb 0.3637 0.8637 0.0000  6 Zn 3.11-3.17, 3 Pb 3.41-3.47
Pb 0.8637 0.6363 0.0000  6 Zn 3.11-3.17, 3 Pb 3.41-3.47
Pb 0.6363 0.1363 0.0000  6 Zn 3.11-3.17, 3 Pb 3.41-3.47
Pb 0.1363 0.3637 0.0000  6 Zn 3.11-3.17, 3 Pb 3.41-3.47
Zn 0.1532 0.6532 0.5000  6 Pb 3.11-3.17, 2 Zn 3.41
Zn 0.6532 0.8468 0.5000  6 Pb 3.11-3.17, 2 Zn 3.41
Zn 0.8468 0.3468 0.5000  6 Pb 3.11-3.17, 2 Zn 3.41
Zn 0.3468 0.1532 0.5000  6 Pb 3.11-3.17, 2 Zn 3.41
K 0.0000 0.0000 0.0000  2 K 3.41, 4 Pb 3.49, 8 Zn 3.81
K 0.5000 0.5000 0.0000  2 K 3.41, 4 Pb 3.49, 8 Zn 3.81

## Properties
SG: P4/mbm
Total DFT energy (no corrections) in eV for the cell shown: -21.375
Density of states at the Fermi level in states/eV/f.u.: 2.04

Entry 12:
Material: K2ZnPb2
Method: DFT, PBE
State: optimized geometry

Lattice parameters (Å, degrees): 4.7775 4.7775 8.7397 74.14 74.14 90.00
Closest atoms and distances in Å follow each position.
Fractional positions:
Pb 0.4121 0.4121 0.1757  1 Pb 2.83
Pb 0.5879 0.5879 0.8243  1 Pb 2.83
Zn 0.0000 0.0000 0.0000  8 Pb 3.66
K 0.7500 0.2500 0.5000  4 K 3.38, 4 Pb 3.54
K 0.2500 0.7500 0.5000  4 K 3.38, 4 Pb 3.54

## Properties
SG: I4/mmm
Total DFT energy (no corrections) in eV for the cell shown: -9.122
Density of states at the Fermi level in states/eV/f.u.: 2.75

Entry 13:
Material: K2ZnPb
Method: DFT, PBE
State: optimized geometry

Lattice parameters (Å, degrees): 5.9192 5.9192 5.9192 60.00 60.00 60.00
Closest atoms and distances in Å follow each position.
Fractional positions:
Pb 0.5000 0.5000 0.5000  8 K 3.62
Zn 0.0000 0.0000 0.0000  8 K 3.62
K 0.2500 0.2500 0.2500  4 Pb 3.62, 4 Zn 3.62
K 0.7500 0.7500 0.7500  4 Pb 3.62, 4 Zn 3.62

## Properties
SG: Fm-3m
Total DFT energy (no corrections) in eV for the cell shown: -6.508
Density of states at the Fermi level in states/eV/f.u.: 4.38

Entry 14:
Material: K2ZnPb
Method: DFT, PBE
State: optimized geometry

Lattice parameters (Å, degrees): 7.8104 6.3730 3.8492 89.52 61.37 117.91
Closest atoms and distances in Å follow each position.
Fractional positions:
K 0.0000 0.0000 0.0000  2 K 3.43, 4 Pb 3.71-3.74, 4 Zn 3.71-3.74
K 0.5000 0.0000 0.5000  2 K 3.43, 4 Zn 3.71-3.74, 4 Pb 3.71-3.74
Pb 0.0000 0.5000 0.5000  2 Zn 3.43, 8 K 3.71-3.74
Zn 0.5000 0.5000 0.0000  2 Pb 3.43, 8 K 3.71-3.74

## Properties
SG: C2/m
Total DFT energy (no corrections) in eV for the cell shown: -6.799
Density of states at the Fermi level in states/eV/f.u.: 2.54

Respective total magnetization values: 0.000, 0.000, 0.000, 0.000, 0.067, 1.899, 1.000, 0.000, 0.000, 0.000, 0.000, 0.000, 0.000, 0.000 Bohr magnetons per cell.